a | VASP calculation (GGA-PBE) on Rb2InPt2 after structural relaxation.

Structure (POSCAR):
```
Rb2InPt2
1.0
4.534 0.000 1.302
2.080 4.029 1.302
-0.669 -0.407 10.878
Pt In Rb
2 1 2
direct
0.676 0.676 0.972 Pt
0.324 0.324 0.028 Pt
0.000 0.000 0.000 In
0.425 0.425 0.724 Rb
0.575 0.575 0.276 Rb
```

Values from the calculation:
**Space-group type**: R-3m (166)
**Size of the total moment**: 0.00 μB per atom



b | VASP calculation (GGA-PBE) on Rb2InPt2 after structural relaxation.

Structure (POSCAR):
```
Rb2InPt2
1.0
6.989 0.000 0.000
0.000 6.989 0.000
0.000 0.000 5.771
Pt Rb In
4 4 2
direct
0.868 0.632 0.000 Pt
0.632 0.132 0.000 Pt
0.368 0.868 0.000 Pt
0.132 0.368 0.000 Pt
0.175 0.675 0.500 Rb
0.825 0.325 0.500 Rb
0.675 0.825 0.500 Rb
0.325 0.175 0.500 Rb
0.000 0.000 0.000 In
0.500 0.500 0.000 In
```

Values from the calculation:
**Space-group type**: P4/mbm (127)
**Size of the total moment**: 0.00 μB per atom



Relative to the most stable structure, the computed energies are a 0.000; b 0.165, all in eV/atom.



a | VASP calculation (GGA-PBE) on Rb2In2Pt after structural relaxation.

Structure (POSCAR):
```
Rb2In2Pt
1.0
-3.952 -2.264 -5.642
2.785 -6.656 0.720
-4.702 -1.544 3.913
In Rb Pt
4 4 2
direct
0.844 0.656 0.000 In
0.344 0.844 0.000 In
0.156 0.344 0.000 In
0.656 0.156 0.000 In
0.318 0.182 0.500 Rb
0.182 0.682 0.500 Rb
0.818 0.318 0.500 Rb
0.682 0.818 0.500 Rb
0.500 0.500 0.000 Pt
0.000 0.000 0.000 Pt
```

Values from the calculation:
**Space-group type**: P4/mbm (127)
**Size of the total moment**: 0.00 μB per atom



b | VASP calculation (GGA-PBE) on Rb2In2Pt after structural relaxation.

Structure (POSCAR):
```
Rb2In2Pt
1.0
-1.702 -1.221 -4.195
-0.967 -4.495 -0.920
-11.211 -0.457 2.061
Pt Rb In
1 2 2
direct
0.000 0.000 0.000 Pt
0.568 0.568 0.295 Rb
0.432 0.432 0.705 Rb
0.688 0.688 0.936 In
0.312 0.312 0.064 In
```

Values from the calculation:
**Space-group type**: R-3m (166)
**Size of the total moment**: 0.00 μB per atom



Relative to the most stable structure, the computed energies are a 0.134; b 0.000, all in eV/atom.



a | VASP calculation (GGA-PBE) on RbInPt3 after structural relaxation.

Structure (POSCAR):
```
RbInPt3
1.0
5.155 0.000 0.000
0.000 5.155 0.000
0.000 0.000 5.155
Pt In Rb
3 1 1
direct
0.500 0.000 0.000 Pt
0.000 0.000 0.500 Pt
0.000 0.500 0.000 Pt
0.500 0.500 0.500 In
0.000 0.000 0.000 Rb
```

Values from the calculation:
**Space-group type**: Pm-3m (221)
**Size of the total moment**: 0.00 μB per atom



b | VASP calculation (GGA-PBE) on RbInPt3 after structural relaxation.

Structure (POSCAR):
```
RbInPt3
1.0
-0.319 5.060 -0.730
-2.223 -0.796 -4.546
-4.604 0.034 2.245
In Pt Rb
1 3 1
direct
0.000 0.000 0.000 In
0.000 0.000 0.500 Pt
0.000 0.500 0.000 Pt
0.500 0.000 0.000 Pt
0.500 0.500 0.500 Rb
```

Values from the calculation:
**Space-group type**: Pm-3m (221)
**Size of the total moment**: 0.00 μB per atom



Relative to the most stable structure, the computed energies are a 1.260; b 0.000, all in eV/atom.



a | VASP calculation (GGA-PBE) on RbIn4Pt after structural relaxation.

Structure (POSCAR):
```
RbIn4Pt
1.0
6.092 -0.003 2.409
-0.951 6.017 2.409
-0.426 -0.499 9.994
In Pt Rb
8 2 2
direct
0.003 0.835 0.662 In
0.835 0.335 0.662 In
0.997 0.165 0.338 In
0.503 0.003 0.662 In
0.165 0.665 0.338 In
0.665 0.497 0.338 In
0.497 0.997 0.338 In
0.335 0.503 0.662 In
0.750 0.750 0.500 Pt
0.250 0.250 0.500 Pt
0.500 0.500 0.000 Rb
0.000 0.000 0.000 Rb
```

Values from the calculation:
**Space-group type**: I4/mcm (140)
**Size of the total moment**: 0.00 μB per atom



b | VASP calculation (GGA-PBE) on RbIn4Pt after structural relaxation.

Structure (POSCAR):
```
RbIn4Pt
1.0
4.413 0.000 0.000
0.000 8.550 0.000
0.000 0.000 8.821
In Rb Pt
8 2 2
direct
0.500 0.712 0.069 In
0.000 0.000 0.000 In
0.500 0.712 0.431 In
0.000 0.000 0.500 In
0.500 0.288 0.931 In
0.500 0.288 0.569 In
0.500 0.064 0.250 In
0.500 0.936 0.750 In
0.000 0.407 0.250 Rb
0.000 0.593 0.750 Rb
0.000 0.176 0.750 Pt
0.000 0.824 0.250 Pt
```

Values from the calculation:
**Space-group type**: Pmma (51)
**Size of the total moment**: 0.00 μB per atom



Relative to the most stable structure, the computed energies are a 0.035; b 0.000, all in eV/atom.



a | VASP calculation (GGA-PBE) on RbZnIn2Pt after structural relaxation.

Structure (POSCAR):
```
RbZnIn2Pt
1.0
5.285 0.000 0.000
0.000 5.285 0.000
0.000 0.000 5.106
Pt Zn Rb In
1 1 1 2
direct
0.000 0.000 0.000 Pt
0.000 0.000 0.500 Zn
0.500 0.500 0.500 Rb
0.000 0.500 0.000 In
0.500 0.000 0.000 In
```

Values from the calculation:
**Space-group type**: P4/mmm (123)
**Size of the total moment**: 0.00 μB per atom



b | VASP calculation (GGA-PBE) on RbZnIn2Pt after structural relaxation.

Structure (POSCAR):
```
RbZnIn2Pt
1.0
6.414 0.000 0.000
0.000 5.472 0.000
0.000 0.000 6.414
In Zn Pt Rb
2 1 1 1
direct
0.500 0.000 0.000 In
0.000 0.000 0.500 In
0.500 0.500 0.500 Zn
0.000 0.500 0.000 Pt
0.000 0.000 0.000 Rb
```

Values from the calculation:
**Space-group type**: P4/mmm (123)
**Size of the total moment**: 0.00 μB per atom



Relative to the most stable structure, the computed energies are a 0.000; b 1.441, all in eV/atom.



a | VASP calculation (GGA-PBE) on InRePt after structural relaxation.

Structure (POSCAR):
```
InRePt
1.0
-1.932 -1.171 3.766
0.676 -4.008 1.661
2.404 -0.490 3.642
Pt In Re
1 1 1
direct
0.750 0.750 0.750 Pt
0.500 0.500 0.500 In
0.000 0.000 0.000 Re
```

Values from the calculation:
**Space-group type**: F-43m (216)
**Size of the total moment**: 0.66 μB per atom



b | VASP calculation (GGA-PBE) on InRePt after structural relaxation.

Structure (POSCAR):
```
InRePt
1.0
4.611 0.000 0.000
-2.305 3.993 0.000
0.000 0.000 2.779
Re Pt In
1 1 1
direct
0.667 0.333 0.667 Re
0.333 0.667 0.167 Pt
0.000 0.000 0.166 In
```

Values from the calculation:
**Space-group type**: P-6m2 (187)
**Size of the total moment**: 0.37 μB per atom



Relative to the most stable structure, the computed energies are a 0.045; b 0.000, all in eV/atom.



a | VASP calculation (GGA-PBE) on InRePt after structural relaxation.

Structure (POSCAR):
```
InRePt
1.0
2.917 0.000 0.000
-1.459 2.526 0.000
0.000 0.000 6.883
Re In Pt
1 1 1
direct
0.333 0.667 0.653 Re
0.000 0.000 0.001 In
0.667 0.333 0.345 Pt
```

Values from the calculation:
**Space-group type**: P3m1 (156)
**Size of the total moment**: 0.00 μB per atom



b | VASP calculation (GGA-PBE) on InRePt after structural relaxation.

Structure (POSCAR):
```
InRePt
1.0
6.480 0.003 -0.003
5.840 2.807 0.002
0.640 0.141 2.801
In Pt Re
1 1 1
direct
0.002 0.002 0.998 In
0.322 0.322 0.678 Pt
0.676 0.676 0.324 Re
```

Values from the calculation:
**Space-group type**: I4mm (107)
**Size of the total moment**: 0.00 μB per atom



Relative to the most stable structure, the computed energies are a 0.057; b 0.000, all in eV/atom.



a | VASP calculation (GGA-PBE) on InPtRh after structural relaxation.

Structure (POSCAR):
```
InPtRh
1.0
-2.584 -5.169 -1.620
-5.395 -2.037 -1.663
4.461 3.999 -0.371
Rh Pt In
1 1 1
direct
0.665 0.665 0.000 Rh
0.331 0.331 0.000 Pt
0.003 0.003 0.000 In
```

Values from the calculation:
**Space-group type**: I4mm (107)
**Size of the total moment**: 0.00 μB per atom



b | VASP calculation (GGA-PBE) on InPtRh after structural relaxation.

Structure (POSCAR):
```
InPtRh
1.0
-1.980 -0.921 3.803
-4.336 0.520 0.397
-2.609 -3.510 0.320
Rh In Pt
1 1 1
direct
0.000 0.000 0.000 Rh
0.500 0.500 0.500 In
0.250 0.250 0.250 Pt
```

Values from the calculation:
**Space-group type**: F-43m (216)
**Size of the total moment**: 0.10 μB per atom



c | VASP calculation (GGA-PBE) on InPtRh after structural relaxation.

Structure (POSCAR):
```
InPtRh
1.0
4.885 -0.014 -1.153
3.561 -0.664 3.474
-4.138 -1.889 -2.121
Rh Pt In
1 1 1
direct
0.337 0.337 0.000 Rh
0.666 0.666 0.000 Pt
0.998 0.998 0.000 In
```

Values from the calculation:
**Space-group type**: Imm2 (44)
**Size of the total moment**: 0.00 μB per atom



Relative to the most stable structure, the computed energies are a 0.000; b 0.187; c 0.012, all in eV/atom.